HfBeInCo: optimized geometry, PBE.

Geometry as CIF:
```
data_HfBeInCo
_cell_length_a 6.203
_cell_length_b 6.203
_cell_length_c 6.203
_cell_angle_alpha 90.00
_cell_angle_beta 90.00
_cell_angle_gamma 90.00
_symmetry_space_group_name_H-M 'F -4 3 m'
_symmetry_Int_Tables_number 216
_symmetry_space_group_name_Hall 'F -4 2 3'
loop_
_atom_site_label
_atom_site_type_symbol
_atom_site_fract_x
_atom_site_fract_y
_atom_site_fract_z
Hf1 Hf 0.000 0.000 0.000
Be1 Be 0.250 0.250 0.250
In1 In 0.000 0.000 0.500
Co1 Co 0.250 0.250 0.750
```

Results
E_form = -0.124 eV/atom
DFT total energy = -96.07 eV/cell
Total magnetic moment = 0.00 μB per cell

***

Al2Ni8P: optimized geometry, PBE.

Geometry as CIF:
```
data_Al2Ni8P
_cell_length_a 13.279
_cell_length_b 4.044
_cell_length_c 5.132
_cell_angle_alpha 90.00
_cell_angle_beta 112.67
_cell_angle_gamma 90.00
_symmetry_space_group_name_H-M 'C 1 2/m 1'
_symmetry_Int_Tables_number 12
_symmetry_space_group_name_Hall '-C 2y'
loop_
_atom_site_label
_atom_site_type_symbol
_atom_site_fract_x
_atom_site_fract_y
_atom_site_fract_z
Al1 Al 0.187 0.000 0.187
Ni1 Ni 0.000 0.000 0.249
Ni2 Ni 0.137 0.500 0.379
Ni3 Ni 0.137 0.500 0.896
Ni4 Ni 0.183 0.000 0.684
P1 P 0.000 0.500 0.500
```

Results
E_form = -0.417 eV/atom
DFT total energy = -127.46 eV/cell
Total magnetic moment = 0.00 μB per cell